No. 1
BiI | PBE | relaxed

Calculated values
- Volume: 79.35 Å³/f.u.
- Energy relative to the elements, uncorrected: 0.004 eV/atom
- E above lowest polymorph: 0.585 eV/f.u.

abc: 9.4465 9.4465 9.4465
angles: 92.20 92.20 157.42
With the nearest neighbours (Å) after each atom.
Element x y z (fractional)
Bi 0.0820 0.8344 0.9164  2 I 3.10-3.14, 2 Bi 3.42
Bi 0.1656 0.0820 0.2476  2 I 3.10-3.14, 2 Bi 3.42
Bi 0.8344 0.9180 0.7524  2 I 3.10-3.14, 2 Bi 3.42
Bi 0.9180 0.1656 0.0836  2 I 3.10-3.14, 2 Bi 3.42
I 0.1084 0.3112 0.4197  2 Bi 3.10-3.14
I 0.3112 0.8916 0.2028  2 Bi 3.10-3.14
I 0.6888 0.1084 0.7972  2 Bi 3.10-3.14
I 0.8916 0.6888 0.5803  2 Bi 3.10-3.14

---

No. 2
BiI | PBE | relaxed

Calculated values
- Volume: 95.34 Å³/f.u.
- Energy relative to the elements, uncorrected: -0.207 eV/atom
- E above lowest polymorph: 0.164 eV/f.u.

abc: 4.6497 4.7257 8.6829
angles: 90.07 90.33 91.85
With the nearest neighbours (Å) after each atom.
Element x y z (fractional)
Bi 0.0000 0.0000 0.0000  2 I 3.11-3.13, 3 Bi 3.12-3.33
Bi 0.4714 0.5462 0.9998  2 I 3.11-3.13, 3 Bi 3.12-3.33
I 0.2399 0.2741 0.3049  2 Bi 3.13
I 0.7325 0.7730 0.6927  2 Bi 3.11

---

No. 3
BiI | PBE | relaxed

Calculated values
- Volume: 77.54 Å³/f.u.
- Energy relative to the elements, uncorrected: 0.054 eV/atom
- E above lowest polymorph: 0.685 eV/f.u.

abc: 6.2292 6.2083 3.7087
angles: 72.96 72.34 34.70
With the nearest neighbours (Å) after each atom.
Element x y z (fractional)
Bi 0.0000 0.0000 0.0000  1 I 2.86
I 0.2538 0.2538 0.7462  1 Bi 2.86

---

No. 4
BiI | PBE | relaxed

Calculated values
- Volume: 123.04 Å³/f.u.
- Energy relative to the elements, uncorrected: 0.480 eV/atom
- E above lowest polymorph: 1.538 eV/f.u.

abc: 5.2447 5.2447 10.3304
angles: 90.00 90.00 120.00
With the nearest neighbours (Å) after each atom.
Element x y z (fractional)
Bi 0.3333 0.6667 0.0000  3 I 3.12
Bi 0.6667 0.3333 0.5000  3 I 3.12
I 0.3333 0.6667 0.5733  3 Bi 3.12
I 0.6667 0.3333 0.0733  3 Bi 3.12

---

No. 5
BiI2 | PBE | relaxed

Calculated values
- Volume: 147.87 Å³/f.u.
- Energy relative to the elements, uncorrected: -0.220 eV/atom

abc: 4.3807 5.2516 7.4303
angles: 88.49 73.04 65.48
With the nearest neighbours (Å) after each atom.
Element x y z (fractional)
Bi 0.0000 0.0000 0.0000  4 I 3.10
I 0.4889 0.2591 0.7632  2 Bi 3.10
I 0.5111 0.7409 0.2368  2 Bi 3.10

---

No. 6
BiI | PBE | relaxed

Calculated values
- Volume: 105.05 Å³/f.u.
- Energy relative to the elements, uncorrected: -0.182 eV/atom
- E above lowest polymorph: 0.213 eV/f.u.

abc: 11.8979 8.4984 6.2339
angles: 90.00 90.00 90.00
With the nearest neighbours (Å) after each atom.
Element x y z (fractional)
Bi 0.0000 0.1963 0.0000  2 Bi 3.08, 2 I 3.13-3.19
Bi 0.2173 0.9996 0.9846  2 I 3.07-3.20, 3 Bi 3.08-3.21
Bi 0.2827 0.0004 0.4846  2 I 3.07-3.20, 3 Bi 3.08-3.21
Bi 0.5000 0.8037 0.5000  2 Bi 3.08, 2 I 3.13-3.19
Bi 0.7173 0.0004 0.4846  2 I 3.07-3.20, 3 Bi 3.08-3.21
Bi 0.7827 0.9996 0.9846  2 I 3.07-3.20, 3 Bi 3.08-3.21
I 0.0000 0.2560 0.5048  2 Bi 3.13-3.19
I 0.1744 0.7045 0.6776  2 Bi 3.07-3.20
I 0.3256 0.2955 0.1776  2 Bi 3.07-3.20
I 0.5000 0.7440 0.0048  2 Bi 3.13-3.19
I 0.6744 0.2955 0.1776  2 Bi 3.07-3.20
I 0.8256 0.7045 0.6776  2 Bi 3.07-3.20

---

No. 7
BiI | PBE | relaxed

Calculated values
- Volume: 129.84 Å³/f.u.
- Energy relative to the elements, uncorrected: 0.072 eV/atom
- E above lowest polymorph: 0.721 eV/f.u.

abc: 8.7707 8.7707 8.7707
angles: 109.47 109.47 109.47
With the nearest neighbours (Å) after each atom.
Element x y z (fractional)
Bi 0.0000 0.0000 0.2220  1 I 3.09, 3 Bi 3.18
Bi 0.0000 0.2220 0.0000  1 I 3.09, 3 Bi 3.18
Bi 0.2220 0.0000 0.0000  1 I 3.09, 3 Bi 3.18
Bi 0.7780 0.7780 0.7780  1 I 3.09, 3 Bi 3.18
I 0.0000 0.0000 0.5740  1 Bi 3.09
I 0.0000 0.5740 0.0000  1 Bi 3.09
I 0.4260 0.4260 0.4260  1 Bi 3.09
I 0.5740 0.0000 0.0000  1 Bi 3.09

---

No. 8
BiI | PBE | relaxed

Calculated values
- Volume: 107.59 Å³/f.u.
- Energy relative to the elements, uncorrected: 0.550 eV/atom
- E above lowest polymorph: 1.678 eV/f.u.

abc: 5.3386 5.3386 5.3386
angles: 60.00 60.00 60.00
With the nearest neighbours (Å) after each atom.
Element x y z (fractional)
Bi 0.0000 0.0000 0.0000  4 I 3.27
I 0.2500 0.2500 0.2500  4 Bi 3.27

---

No. 9
BiI | PBE | relaxed

Calculated values
- Volume: 87.15 Å³/f.u.
- Energy relative to the elements, uncorrected: -0.206 eV/atom
- E above lowest polymorph: 0.165 eV/f.u.

abc: 4.4830 6.0587 6.9646
angles: 104.50 90.41 107.18
With the nearest neighbours (Å) after each atom.
Element x y z (fractional)
Bi 0.0000 0.0000 0.0000  1 I 2.94, 2 Bi 3.11
Bi 0.4288 0.8325 0.6844  1 I 2.98, 2 Bi 3.11
I 0.2193 0.3038 0.6297  1 Bi 2.98
I 0.8201 0.5976 0.1843  1 Bi 2.94

---

No. 10
BiI | PBE | relaxed

Calculated values
- Volume: 91.47 Å³/f.u.
- Energy relative to the elements, uncorrected: -0.185 eV/atom
- E above lowest polymorph: 0.207 eV/f.u.

abc: 4.4037 6.4736 7.0523
angles: 88.79 73.98 71.66
With the nearest neighbours (Å) after each atom.
Element x y z (fractional)
Bi 0.0000 0.0000 0.0000  1 I 2.99, 2 Bi 3.04
Bi 0.2892 0.2071 0.2604  1 I 2.99, 2 Bi 3.04
I 0.1861 0.7972 0.4261  1 Bi 2.99
I 0.6701 0.4058 0.8267  1 Bi 2.99

---

No. 11
Bi4I | PBE | relaxed

Calculated values
- Volume: 195.61 Å³/f.u.
- Energy relative to the elements, uncorrected: -0.024 eV/atom
- E above lowest polymorph: 0.351 eV/f.u.

abc: 7.0404 4.5659 12.5942
angles: 90.00 104.91 90.00
With the nearest neighbours (Å) after each atom.
Element x y z (fractional)
Bi 0.0601 0.0831 0.1300  4 Bi 3.08-3.26
Bi 0.0601 0.4169 0.6300  4 Bi 3.08-3.26
Bi 0.2994 0.5921 0.2713  3 Bi 3.08-3.14, 1 I 3.42
Bi 0.2994 0.9079 0.7713  3 Bi 3.08-3.14, 1 I 3.42
Bi 0.7006 0.0921 0.2287  3 Bi 3.08-3.14, 1 I 3.42
Bi 0.7006 0.4079 0.7287  3 Bi 3.08-3.14, 1 I 3.42
Bi 0.9399 0.5831 0.3700  4 Bi 3.08-3.26
Bi 0.9399 0.9169 0.8700  4 Bi 3.08-3.26
I 0.5000 0.0000 0.5000  2 Bi 3.42
I 0.5000 0.5000 0.0000  2 Bi 3.42

---

No. 12
BiI | PBE | relaxed

Calculated values
- Volume: 83.27 Å³/f.u.
- Energy relative to the elements, uncorrected: -0.184 eV/atom
- E above lowest polymorph: 0.209 eV/f.u.

abc: 7.7674 7.9053 10.8489
angles: 90.00 90.00 90.00
With the nearest neighbours (Å) after each atom.
Element x y z (fractional)
Bi 0.1932 0.0699 0.4262  2 I 3.04-3.31, 2 Bi 3.13-3.21
Bi 0.2047 0.5588 0.9937  2 I 3.04-3.25, 2 Bi 3.13-3.21
Bi 0.2953 0.4412 0.4937  2 I 3.04-3.25, 2 Bi 3.13-3.21
Bi 0.3068 0.9301 0.9262  2 I 3.04-3.31, 2 Bi 3.13-3.21
Bi 0.6932 0.4301 0.5738  2 I 3.04-3.31, 2 Bi 3.13-3.21
Bi 0.7047 0.9412 0.0063  2 I 3.04-3.25, 2 Bi 3.13-3.21
Bi 0.7953 0.0588 0.5063  2 I 3.04-3.25, 2 Bi 3.13-3.21
Bi 0.8068 0.5699 0.0738  2 I 3.04-3.31, 2 Bi 3.13-3.21
I 0.1199 0.1376 0.1551  2 Bi 3.04-3.31
I 0.1203 0.3626 0.7376  2 Bi 3.04-3.25
I 0.3797 0.6374 0.2376  2 Bi 3.04-3.25
I 0.3801 0.8624 0.6551  2 Bi 3.04-3.31
I 0.6203 0.1374 0.2624  2 Bi 3.04-3.25
I 0.6199 0.3624 0.8449  2 Bi 3.04-3.31
I 0.8801 0.6376 0.3449  2 Bi 3.04-3.31
I 0.8797 0.8626 0.7624  2 Bi 3.04-3.25

---

No. 13
BiI | PBE | relaxed

Calculated values
- Volume: 92.80 Å³/f.u.
- Energy relative to the elements, uncorrected: -0.289 eV/atom
- E above lowest polymorph: 0.000 eV/f.u.

abc: 8.1688 8.1688 11.0327
angles: 103.94 103.94 31.38
With the nearest neighbours (Å) after each atom.
Element x y z (fractional)
Bi 0.1814 0.1814 0.4907  3 Bi 3.06-3.10
Bi 0.1953 0.1953 0.7757  1 Bi 3.10, 4 I 3.13-3.15
Bi 0.8047 0.8047 0.2243  1 Bi 3.10, 4 I 3.13-3.15
Bi 0.8186 0.8186 0.5093  3 Bi 3.06-3.10
I 0.1598 0.1598 0.1361  2 Bi 3.15
I 0.4502 0.4502 0.2810  2 Bi 3.13
I 0.5498 0.5498 0.7190  2 Bi 3.13
I 0.8402 0.8402 0.8639  2 Bi 3.15

---

No. 14
BiI | PBE | relaxed

Calculated values
- Volume: 77.71 Å³/f.u.
- Energy relative to the elements, uncorrected: 0.105 eV/atom
- E above lowest polymorph: 0.788 eV/f.u.

abc: 6.5316 19.4716 3.6661
angles: 90.00 90.00 90.00
With the nearest neighbours (Å) after each atom.
Element x y z (fractional)
Bi 0.2500 0.0833 0.0044  4 I 3.25-3.27
Bi 0.2500 0.4167 0.0044  4 I 3.25-3.27
Bi 0.2500 0.7500 0.9904  4 I 3.25-3.27
Bi 0.7500 0.2500 0.0096  4 I 3.25-3.27
Bi 0.7500 0.5833 0.9956  4 I 3.25-3.27
Bi 0.7500 0.9167 0.9956  4 I 3.25-3.27
I 0.2500 0.2500 0.0091  4 Bi 3.25-3.27
I 0.2500 0.5833 0.9955  4 Bi 3.25-3.27
I 0.2500 0.9167 0.9955  4 Bi 3.25-3.27
I 0.7500 0.0833 0.0045  4 Bi 3.25-3.27
I 0.7500 0.4167 0.0045  4 Bi 3.25-3.27
I 0.7500 0.7500 0.9909  4 Bi 3.25-3.27

---

No. 15
Bi9I2 | PBE | relaxed

Calculated values
- Volume: 424.61 Å³/f.u.
- Energy relative to the elements, uncorrected: -0.085 eV/atom

abc: 13.4788 4.5080 15.2644
angles: 90.00 113.71 90.00
With the nearest neighbours (Å) after each atom.
Element x y z (fractional)
Bi 0.0062 0.2500 0.3333  3 Bi 3.08-3.09
Bi 0.0587 0.7500 0.0702  4 Bi 3.07-3.43
Bi 0.1082 0.2500 0.8090  4 Bi 3.08-3.43
Bi 0.2051 0.2500 0.2811  3 Bi 3.09-3.10
Bi 0.2618 0.7500 0.0177  4 Bi 3.07-3.40
Bi 0.3047 0.2500 0.7510  3 Bi 3.08-3.11
Bi 0.3186 0.7500 0.4270  2 Bi 3.10, 2 I 3.12-3.14
Bi 0.3759 0.2500 0.1594  3 Bi 3.07-3.14
Bi 0.4209 0.7500 0.8924  4 Bi 3.08-3.40
Bi 0.5791 0.2500 0.1076  4 Bi 3.08-3.40
Bi 0.6241 0.7500 0.8406  3 Bi 3.07-3.14
Bi 0.6814 0.2500 0.5730  2 Bi 3.10, 2 I 3.12-3.14
Bi 0.6953 0.7500 0.2490  3 Bi 3.08-3.11
Bi 0.7382 0.2500 0.9823  4 Bi 3.07-3.40
Bi 0.7949 0.7500 0.7189  3 Bi 3.09-3.10
Bi 0.8918 0.7500 0.1910  4 Bi 3.08-3.43
Bi 0.9413 0.2500 0.9298  4 Bi 3.07-3.43
Bi 0.9938 0.7500 0.6667  3 Bi 3.08-3.09
I 0.1615 0.7500 0.5333  1 Bi 3.14
I 0.4817 0.2500 0.6275  1 Bi 3.12
I 0.5183 0.7500 0.3725  1 Bi 3.12
I 0.8385 0.2500 0.4667  1 Bi 3.14

---

No. 16
BiI | PBE | relaxed

Calculated values
- Volume: 93.56 Å³/f.u.
- Energy relative to the elements, uncorrected: -0.288 eV/atom
- E above lowest polymorph: 0.002 eV/f.u.

abc: 8.1888 8.1888 21.7332
angles: 97.80 97.80 31.25
With the nearest neighbours (Å) after each atom.
Element x y z (fractional)
Bi 0.9996 0.9996 0.1121  1 Bi 3.09, 4 I 3.13-3.14
Bi 0.0004 0.0004 0.8879  1 Bi 3.09, 4 I 3.13-3.14
Bi 0.0611 0.0611 0.2536  3 Bi 3.06-3.09
Bi 0.2479 0.2479 0.6118  1 Bi 3.10, 4 I 3.13-3.15
Bi 0.3064 0.3064 0.7540  3 Bi 3.06-3.10
Bi 0.6936 0.6936 0.2460  3 Bi 3.06-3.10
Bi 0.7521 0.7521 0.3882  1 Bi 3.10, 4 I 3.13-3.15
Bi 0.9389 0.9389 0.7464  3 Bi 3.06-3.09
I 0.1295 0.1295 0.4299  2 Bi 3.15
I 0.3706 0.3706 0.1427  2 Bi 3.13
I 0.3778 0.3778 0.9288  2 Bi 3.14
I 0.3832 0.3832 0.3625  2 Bi 3.13
I 0.6168 0.6168 0.6375  2 Bi 3.13
I 0.6222 0.6222 0.0712  2 Bi 3.14
I 0.6294 0.6294 0.8573  2 Bi 3.13
I 0.8705 0.8705 0.5701  2 Bi 3.15

---

No. 17
Bi4I | PBE | relaxed

Calculated values
- Volume: 206.85 Å³/f.u.
- Energy relative to the elements, uncorrected: 0.928 eV/atom
- E above lowest polymorph: 5.112 eV/f.u.

abc: 5.9141 5.9141 5.9141
angles: 90.00 90.00 90.00
With the nearest neighbours (Å) after each atom.
Element x y z (fractional)
Bi 0.0000 0.0000 0.0000  12 Bi 4.18
Bi 0.0000 0.5000 0.5000  2 I 2.96
Bi 0.5000 0.0000 0.5000  2 I 2.96
Bi 0.5000 0.5000 0.0000  2 I 2.96
I 0.5000 0.5000 0.5000  6 Bi 2.96

---

No. 18
Bi5I | PBE | relaxed

Calculated values
- Volume: 200.02 Å³/f.u.
- Energy relative to the elements, uncorrected: 0.098 eV/atom

abc: 9.6400 9.6400 3.8540
angles: 90.00 90.00 146.05
With the nearest neighbours (Å) after each atom.
Element x y z (fractional)
Bi 0.0000 0.0000 0.0000  4 I 3.41, 4 Bi 3.50
Bi 0.1585 0.8415 0.5000  8 Bi 3.30-3.50
Bi 0.3039 0.6961 0.0000  8 Bi 3.30-3.48
Bi 0.6961 0.3039 0.0000  8 Bi 3.30-3.48
Bi 0.8415 0.1585 0.5000  8 Bi 3.30-3.50
I 0.5000 0.5000 0.5000  4 Bi 3.41

---

No. 19
InBiI6 | PBE | relaxed

Calculated values
- Volume: 364.27 Å³/f.u.
- Energy relative to the elements, uncorrected: -0.388 eV/atom

abc: 7.8180 7.8180 7.5009
angles: 99.11 99.11 122.67
With the nearest neighbours (Å) after each atom.
Element x y z (fractional)
In 0.0000 0.0000 0.0000  6 I 2.94-3.04
Bi 0.5000 0.5000 0.5000  6 I 3.07-3.13
I 0.0795 0.3883 0.2366  1 In 2.94, 1 Bi 3.13
I 0.2505 0.2505 0.7528  1 In 3.04, 1 Bi 3.07
I 0.3883 0.0795 0.2366  1 In 2.94, 1 Bi 3.13
I 0.6116 0.9205 0.7634  1 In 2.94, 1 Bi 3.13
I 0.7495 0.7495 0.2472  1 In 3.04, 1 Bi 3.07
I 0.9205 0.6116 0.7634  1 In 2.94, 1 Bi 3.13

---

No. 20
InBi2I2 | PBE | relaxed

Calculated values
- Volume: 204.13 Å³/f.u.
- Energy relative to the elements, uncorrected: -0.057 eV/atom

abc: 6.6081 6.6081 6.4199
angles: 99.71 99.71 47.80
With the nearest neighbours (Å) after each atom.
Element x y z (fractional)
In 0.0000 0.0000 0.0000  4 Bi 3.14, 2 I 3.20
Bi 0.4491 0.4491 0.7447  1 I 3.01, 2 In 3.14, 1 Bi 3.28
Bi 0.5509 0.5509 0.2553  1 I 3.01, 2 In 3.14, 1 Bi 3.28
I 0.1992 0.1992 0.7328  1 Bi 3.01, 1 In 3.20
I 0.8008 0.8008 0.2672  1 Bi 3.01, 1 In 3.20

---

No. 21
InBiI5 | PBE | relaxed

Calculated values
- Volume: 390.66 Å³/f.u.
- Energy relative to the elements, uncorrected: -0.378 eV/atom

abc: 8.7659 8.7659 11.8404
angles: 110.89 110.89 91.66
With the nearest neighbours (Å) after each atom.
Element x y z (fractional)
In 0.1221 0.8779 0.7500  4 I 2.89-2.94
In 0.8779 0.1221 0.2500  4 I 2.89-2.94
Bi 0.5000 0.5000 0.0000  6 I 3.12-3.15
Bi 0.5000 0.5000 0.5000  6 I 3.12-3.15
I 0.1705 0.2412 0.8372  1 In 2.94, 1 Bi 3.12
I 0.2285 0.7165 0.5386  1 In 2.89, 1 Bi 3.15
I 0.2412 0.1705 0.3372  1 In 2.94, 1 Bi 3.12
I 0.2835 0.7715 0.9614  1 In 2.89, 1 Bi 3.15
I 0.4190 0.5810 0.2500  2 Bi 3.13
I 0.5810 0.4190 0.7500  2 Bi 3.13
I 0.7165 0.2285 0.0386  1 In 2.89, 1 Bi 3.15
I 0.7588 0.8295 0.6628  1 In 2.94, 1 Bi 3.12
I 0.7715 0.2835 0.4614  1 In 2.89, 1 Bi 3.15
I 0.8295 0.7588 0.1628  1 In 2.94, 1 Bi 3.12

---

No. 22
In4BiI7 | PBE | relaxed

Calculated values
- Volume: 539.63 Å³/f.u.
- Energy relative to the elements, uncorrected: -0.406 eV/atom

abc: 11.5266 11.5266 8.4658
angles: 105.89 105.89 30.02
With the nearest neighbours (Å) after each atom.
Element x y z (fractional)
In 0.0789 0.0789 0.1476  3 I 3.18-3.54
In 0.1865 0.1865 0.7738  3 I 3.23-3.54
In 0.8135 0.8135 0.2262  3 I 3.23-3.54
In 0.9211 0.9211 0.8524  3 I 3.18-3.54
Bi 0.5000 0.5000 0.5000  6 I 2.99-3.10
I 0.0000 0.0000 0.5000  2 Bi 2.99
I 0.2242 0.2242 0.1720  4 In 3.18-3.54
I 0.3813 0.3813 0.6217  1 Bi 3.10
I 0.4160 0.4160 0.1383  1 Bi 3.10
I 0.5840 0.5840 0.8617  1 Bi 3.10
I 0.6187 0.6187 0.3783  1 Bi 3.10
I 0.7758 0.7758 0.8280  4 In 3.18-3.54